No. 1
Below is a geometry-optimized SrPaPd4 structure, with properties calculated at the PBE-GGA level.

Computed properties:
Total energy   -5.878 eV/atom
Total magnetization   0.00 μB per cell
Formation energy   -0.553 eV per atom
Distance to the lowest polymorph of the same formula   0.00 eV/f.u.

a = 4.5355 Å, b = 4.5355 Å, c = 7.6356 Å
α = 90.00°, β = 90.00°, γ = 120.00°
Closest atoms and distances in Å follow each position.
Sites, in units of the cell vectors:
Sr  0.0000  0.0000  0.0000  12 Pd 3.48, 2 Pa 3.82
Pa  0.0000  0.0000  0.5000  12 Pd 3.03
Pd  0.3333  0.6667  0.3004  3 Pd 2.62
Pd  0.3333  0.6667  0.6996  3 Pd 2.62
Pd  0.6667  0.3333  0.3004  3 Pd 2.62
Pd  0.6667  0.3333  0.6996  3 Pd 2.62

***

No. 2
Below is a geometry-optimized Mg5NiPd6 structure, with properties calculated at the PBE-GGA level.

Computed properties:
Total energy   -4.357 eV/atom
Total magnetization   0.00 μB per cell
Formation energy   -0.614 eV per atom

a = 7.7520 Å, b = 7.7520 Å, c = 7.7520 Å
α = 146.24°, β = 133.34°, γ = 58.82°
Closest atoms and distances in Å follow each position.
Sites, in units of the cell vectors:
Mg  0.0000  0.0000  0.0000  8 Pd 2.71-2.75
Mg  0.1661  0.6661  0.5000  8 Pd 2.74-2.75
Mg  0.3348  0.3348  0.0000  8 Pd 2.68-2.78
Mg  0.6652  0.6652  0.0000  8 Pd 2.68-2.78
Mg  0.8339  0.3339  0.5000  8 Pd 2.74-2.75
Ni  0.5000  0.0000  0.5000  8 Pd 2.69-2.70
Pd  0.0892  0.8356  0.2537  1 Ni 2.69, 7 Mg 2.71-2.78
Pd  0.2579  0.5000  0.7579  6 Mg 2.68-2.75, 2 Ni 2.70, 1 Pd 2.97
Pd  0.4181  0.1644  0.2537  1 Ni 2.69, 7 Mg 2.71-2.78
Pd  0.5819  0.8356  0.7463  1 Ni 2.69, 7 Mg 2.71-2.78
Pd  0.7421  0.5000  0.2421  6 Mg 2.68-2.75, 2 Ni 2.70, 1 Pd 2.97
Pd  0.9108  0.1644  0.7463  1 Ni 2.69, 7 Mg 2.71-2.78

***

No. 3
Below is a geometry-optimized PmLuMgCu structure, with properties calculated at the PBE-GGA level.

Computed properties:
Total energy   -3.793 eV/atom
Total magnetization   0.00 μB per cell
Formation energy   -0.053 eV per atom

a = 7.2743 Å, b = 7.2743 Å, c = 7.2743 Å
α = 90.00°, β = 90.00°, γ = 90.00°
Closest atoms and distances in Å follow each position.
Sites, in units of the cell vectors:
Pm  0.0000  0.0000  0.0000  4 Mg 3.15, 4 Cu 3.15
Pm  0.0000  0.5000  0.5000  4 Mg 3.15, 4 Cu 3.15
Pm  0.5000  0.0000  0.5000  4 Mg 3.15, 4 Cu 3.15
Pm  0.5000  0.5000  0.0000  4 Mg 3.15, 4 Cu 3.15
Lu  0.0000  0.0000  0.5000  4 Cu 3.15, 4 Mg 3.15
Lu  0.0000  0.5000  0.0000  4 Cu 3.15, 4 Mg 3.15
Lu  0.5000  0.0000  0.0000  4 Cu 3.15, 4 Mg 3.15
Lu  0.5000  0.5000  0.5000  4 Cu 3.15, 4 Mg 3.15
Mg  0.2500  0.2500  0.7500  4 Lu 3.15, 4 Pm 3.15
Mg  0.2500  0.7500  0.2500  4 Lu 3.15, 4 Pm 3.15
Mg  0.7500  0.2500  0.2500  4 Lu 3.15, 4 Pm 3.15
Mg  0.7500  0.7500  0.7500  4 Lu 3.15, 4 Pm 3.15
Cu  0.2500  0.2500  0.2500  4 Pm 3.15, 4 Lu 3.15
Cu  0.2500  0.7500  0.7500  4 Pm 3.15, 4 Lu 3.15
Cu  0.7500  0.2500  0.7500  4 Pm 3.15, 4 Lu 3.15
Cu  0.7500  0.7500  0.2500  4 Pm 3.15, 4 Lu 3.15

***

No. 4
Below is a geometry-optimized CeZn3Ru structure, with properties calculated at the PBE-GGA level.

Computed properties:
Total energy   -4.137 eV/atom
Total magnetization   0.00 μB per cell
Formation energy   -0.331 eV per atom

a = 4.8182 Å, b = 6.2775 Å, c = 6.0076 Å
α = 90.00°, β = 99.66°, γ = 90.00°
Closest atoms and distances in Å follow each position.
Sites, in units of the cell vectors:
Ce  0.1478  0.2500  0.1594  2 Ru 2.45-2.63
Ce  0.8522  0.7500  0.8406  2 Ru 2.45-2.63
Zn  0.1873  0.7500  0.3762  6 Zn 2.58-2.74, 1 Ru 2.67
Zn  0.3216  0.0472  0.6704  4 Zn 2.55-2.74, 2 Ru 2.60-2.71
Zn  0.3216  0.4528  0.6704  4 Zn 2.55-2.74, 2 Ru 2.60-2.71
Zn  0.6784  0.5472  0.3296  4 Zn 2.55-2.74, 2 Ru 2.60-2.71
Zn  0.6784  0.9528  0.3296  4 Zn 2.55-2.74, 2 Ru 2.60-2.71
Zn  0.8127  0.2500  0.6238  6 Zn 2.58-2.74, 1 Ru 2.67
Ru  0.3611  0.7500  0.9765  2 Ce 2.45-2.63, 5 Zn 2.60-2.71
Ru  0.6389  0.2500  0.0235  2 Ce 2.45-2.63, 5 Zn 2.60-2.71

***

Look up the total energy of the first one. -5.878 eV/atom

***

total energy of number 4 (CeZn3Ru)? -4.137 eV/atom

***

Among the records above, which one has the lowest total energy? SrPaPd4